# MnNiCl3 GGA-PBE optimized geometry
# Formation energy (no corrections) in eV per atom: -0.082
# Energy relative to the lowest polymorph listed for this composition in meV per atom: 77
# Mass density in g/cm3: 3.1
data_MnNiCl3
_chemical_formula_sum 'Mn1 Ni1 Cl3'
_cell_length_a 4.899
_cell_length_b 4.899
_cell_length_c 4.899
_cell_angle_alpha 90.00
_cell_angle_beta 90.00
_cell_angle_gamma 90.00
_space_group_name_H-M_alt 'P m -3 m'
_space_group_IT_number 221
_space_group_name_Hall '-P 4 2 3'
loop_
_atom_site_label
_atom_site_fract_x
_atom_site_fract_y
_atom_site_fract_z
Mn1 0.000 0.000 0.000
Ni1 0.500 0.500 0.500
Cl1 0.000 0.000 0.500